Entry 1:
## Al2CdCl (GGA-PBE)

Data for crystalline Al2CdCl at its relaxed geometry.

Properties
Crystal system: tetragonal

Cell lengths 3.0139, 3.0139, 9.8955 Å; angles 90.00, 90.00, 90.00 degrees
Element x y z (fractional)
Cl (0.5000, 0.5000, 0.8404)
Al (0.0000, 0.0000, 0.0062)
Al (0.5000, 0.5000, 0.2099)
Cd (0.0000, 0.0000, 0.4434)

Entry 2:
## Al2CdCl (GGA-PBE)

Data for crystalline Al2CdCl at its relaxed geometry.

Properties
Crystal system: orthorhombic

Cell lengths 5.2216, 5.2216, 3.0922 Å; angles 90.00, 90.00, 89.89 degrees
Element x y z (fractional)
Cl (0.0000, 0.5000, 0.5000)
Al (0.0000, 0.0000, 0.0000)
Al (0.5000, 0.5000, 0.0000)
Cd (0.5000, 0.0000, 0.5000)

| no. | energy above the lowest structure with this stoichiometry (eV per atom) | magnetization (μB/cell) |
| --- | --- | --- |
| 1 | 0.103 | 0.00 |
| 2 | 0.213 | 0.00 |